No. 1
First-principles (meta-GGA SCAN) data for ScBe2P2 at its PBEsol-relaxed geometry, as listed in the Alexandria database.

Calculated values
E_form = -606 meV per atom
mass density = 3.12 g/cm3
total moment = 0.0000 μB/atom

a = 3.4013 Å, b = 3.4013 Å, c = 6.2287 Å
α = 105.84°, β = 105.84°, γ = 90.00°
Last column: nearest neighbours and their distance in Å.
Fractional positions:
Sc (0.0000, 0.0000, 0.0000)  8 P 2.82
P (0.3713, 0.3713, 0.7425)  4 Be 2.20
P (0.6287, 0.6287, 0.2575)  4 Be 2.20
Be (0.2500, 0.7500, 0.5000)  4 P 2.20, 4 Be 2.41
Be (0.7500, 0.2500, 0.5000)  4 P 2.20, 4 Be 2.41

No. 2
First-principles (meta-GGA SCAN) data for ScBe2P at its PBEsol-relaxed geometry, as listed in the Alexandria database.

Calculated values
E_form = -454 meV per atom
mass density = 3.05 g/cm3
total moment = 0.0000 μB/atom

a = 3.4237 Å, b = 3.7764 Å, c = 4.7744 Å
α = 109.11°, β = 90.00°, γ = 116.96°
Last column: nearest neighbours and their distance in Å.
Fractional positions:
Sc (0.2595, 0.5191, 0.7633)  6 Be 2.60-2.87, 4 P 2.67-2.80
P (0.4841, 0.9682, 0.3865)  5 Be 2.13-2.31
Be (0.0172, 0.0344, 0.1279)  3 Be 2.08-2.21, 2 P 2.17
Be (0.7392, 0.4783, 0.2223)  3 Be 2.08-2.21, 3 P 2.13-2.31

No. 3
First-principles (meta-GGA SCAN) data for Sc3BeP at its PBEsol-relaxed geometry, as listed in the Alexandria database.

Calculated values
E_form = -247 meV per atom
mass density = 2.61 g/cm3
total moment = 0.0000 μB/atom

a = 4.8098 Å, b = 4.8098 Å, c = 4.8098 Å
α = 90.00°, β = 90.00°, γ = 90.00°
Last column: nearest neighbours and their distance in Å.
Fractional positions:
Sc (0.0000, 0.5000, 0.0000)  2 P 2.40
Sc (0.0000, 0.0000, 0.5000)  2 P 2.40
Sc (0.5000, 0.0000, 0.0000)  2 P 2.40
P (0.0000, 0.0000, 0.0000)  6 Sc 2.40
Be (0.5000, 0.5000, 0.5000)  12 Sc 3.40

No. 4
First-principles (meta-GGA SCAN) data for ScBeP2 at its PBEsol-relaxed geometry, as listed in the Alexandria database.

Calculated values
E_form = -735 meV per atom
mass density = 3.29 g/cm3
total moment = 0.0000 μB/atom

a = 3.5445 Å, b = 3.5440 Å, c = 5.2815 Å
α = 109.60°, β = 109.31°, γ = 90.00°
Last column: nearest neighbours and their distance in Å.
Fractional positions:
Sc (0.6880, 0.5626, 0.1251)  8 P 2.75-2.77, 4 Be 2.92-2.93
P (0.0609, 0.9386, 0.8771)  2 Be 2.12-2.13, 1 P 2.31
P (0.3151, 0.1864, 0.3728)  2 Be 2.13, 1 P 2.31
Be (0.4361, 0.8125, 0.6250)  4 P 2.12-2.13

No. 5
First-principles (meta-GGA SCAN) data for BePSe2 at its PBEsol-relaxed geometry, as listed in the Alexandria database.

Calculated values
uncorrected formation energy = 29.0 kJ/mol of atoms
mass density = 4.17 g/cm3
total moment = 0.0028 μB/atom

a = 3.3696 Å, b = 3.8906 Å, c = 6.6768 Å
α = 90.00°, β = 90.00°, γ = 115.66°
Last column: nearest neighbours and their distance in Å.
Fractional positions:
P (0.5000, 0.0000, 0.0000)  4 Se 2.46
Se (0.0000, 0.0000, 0.7308)  2 Be 2.28, 2 P 2.46
Se (0.0000, 0.0000, 0.2692)  2 Be 2.28, 2 P 2.46
Be (0.5000, 0.0000, 0.5000)  4 Se 2.28

No. 6
First-principles (meta-GGA SCAN) data for Be3PSe at its PBEsol-relaxed geometry, as listed in the Alexandria database.

Calculated values
uncorrected formation energy = 37.3 kJ/mol of atoms
mass density = 3.17 g/cm3
total moment = 0.0465 μB/atom

a = 4.1566 Å, b = 4.1566 Å, c = 4.1566 Å
α = 90.00°, β = 90.00°, γ = 90.00°
Last column: nearest neighbours and their distance in Å.
Fractional positions:
P (0.0000, 0.0000, 0.0000)  6 Be 2.08
Se (0.5000, 0.5000, 0.5000)  12 Be 2.94
Be (0.0000, 0.5000, 0.0000)  2 P 2.08
Be (0.0000, 0.0000, 0.5000)  2 P 2.08
Be (0.5000, 0.0000, 0.0000)  2 P 2.08

Question: Which formula does entry 5 have?
Answer: BePSe2

Question: Among the records above, which one has the highest total moment?
Answer: Be3PSe